Computed, not measured: a relaxed CrSb4Ru crystal at the PBE level of DFT.

Lattice parameters (Å, degrees): 6.0419 6.0419 6.0419 60.00 60.00 60.00
Last column: nearest neighbours and their distance in Å.
Fractional coordinates of all 6 atoms:
1 Cr 0.0000 0.0000 0.0000  12 Sb 3.54, 4 Ru 3.70
2 Sb 0.3755 0.3755 0.3755  6 Sb 3.01-3.03
3 Sb 0.3755 0.3755 0.8735  6 Sb 3.01-3.03
4 Sb 0.3755 0.8735 0.3755  6 Sb 3.01-3.03
5 Sb 0.8735 0.3755 0.3755  6 Sb 3.01-3.03
6 Ru 0.7500 0.7500 0.7500  12 Sb 3.54, 4 Cr 3.70

## Properties
- Spin magnetization: 2.2 μB/cell
- Formation energy (no corrections): 24.36 kcal/mol of atoms